A) Density functional theory data (PBE) for crystalline Mn3Au4 at its relaxed geometry.

* density: 13.441 g/cm³

The structure in CIF format:
```
data_Mn3Au4
_chemical_formula_sum 'Mn6 Au8'
_cell_length_a 3.407
_cell_length_b 3.407
_cell_length_c 20.278
_cell_angle_alpha 90.00
_cell_angle_beta 90.00
_cell_angle_gamma 90.00
_symmetry_space_group_name_H-M 'I 4/m m m'
_symmetry_Int_Tables_number 139
_symmetry_space_group_name_Hall '-I 4 2'
loop_
_atom_site_label
_atom_site_type_symbol
_atom_site_fract_x
_atom_site_fract_y
_atom_site_fract_z
_atom_site_occupancy
Mn1 Mn 0.000 0.000 0.000 1
Mn2 Mn 0.000 0.000 0.288 1
Au1 Au 0.000 0.000 0.151 1
Au2 Au 0.000 0.000 0.430 1
```

B) Density functional theory data (PBE) for crystalline Mn3Au4 at its relaxed geometry.

* density: 13.884 g/cm³

The structure in CIF format:
```
data_Mn3Au4
_chemical_formula_sum 'Mn3 Au4'
_cell_length_a 5.0318
_cell_length_b 5.0318
_cell_length_c 5.1963
_cell_angle_alpha 90.00
_cell_angle_beta 90.00
_cell_angle_gamma 120.00
_symmetry_space_group_name_H-M 'P 6/m m m'
_symmetry_Int_Tables_number 191
_symmetry_space_group_name_Hall '-P 6 2'
loop_
_atom_site_label
_atom_site_type_symbol
_atom_site_fract_x
_atom_site_fract_y
_atom_site_fract_z
_atom_site_occupancy
Mn1 Mn 0.0000 0.5000 0.0000 1
Au1 Au 0.0000 0.0000 0.2516 1
Au2 Au 0.3333 0.6667 0.5000 1
```

Ordering by calculated energy gives the sequence A), B), with the first entry being the most stable.

A) Density functional theory data (PBE) for crystalline Mn2Au5 at its relaxed geometry.

* density: 15.024 g/cm³

The structure in CIF format:
```
data_Mn2Au5
_chemical_formula_sum 'Mn8 Au20'
_cell_length_a 13.039
_cell_length_b 4.932
_cell_length_c 7.542
_cell_angle_alpha 90.00
_cell_angle_beta 93.65
_cell_angle_gamma 90.00
_symmetry_space_group_name_H-M 'C 1 2/c 1'
_symmetry_Int_Tables_number 15
loop_
_symmetry_equiv_pos_as_xyz
'x,y,z'
'-x,-y,-z'
'-x,y,-z+1/2'
'x,-y,z+1/2'
'x+1/2,y+1/2,z'
'-x+1/2,-y+1/2,-z'
'-x+1/2,y+1/2,-z+1/2'
'x+1/2,-y+1/2,z+1/2'
loop_
_atom_site_label
_atom_site_type_symbol
_atom_site_fract_x
_atom_site_fract_y
_atom_site_fract_z
_atom_site_occupancy
Mn1 Mn 0.078 0.188 0.103 1
Au1 Au 0.000 0.301 0.750 1
Au2 Au 0.131 0.310 0.457 1
Au3 Au 0.215 0.177 0.822 1
```

B) Density functional theory data (PBE) for crystalline Mn2Au5 at its relaxed geometry.

* density: 15.149 g/cm³

The structure in CIF format:
```
data_Mn2Au5
_chemical_formula_sum 'Mn4 Au10'
_cell_length_a 9.323
_cell_length_b 3.879
_cell_length_c 6.691
_cell_angle_alpha 90.00
_cell_angle_beta 97.36
_cell_angle_gamma 90.00
_symmetry_space_group_name_H-M 'C 1 2/m 1'
_symmetry_Int_Tables_number 12
loop_
_symmetry_equiv_pos_as_xyz
'x,y,z'
'-x,-y,-z'
'-x,y,-z'
'x,-y,z'
'x+1/2,y+1/2,z'
'-x+1/2,-y+1/2,-z'
'-x+1/2,y+1/2,-z'
'x+1/2,-y+1/2,z'
loop_
_atom_site_label
_atom_site_type_symbol
_atom_site_fract_x
_atom_site_fract_y
_atom_site_fract_z
_atom_site_occupancy
Mn1 Mn 0.076 0.000 0.218 1
Au1 Au 0.000 0.500 0.500 1
Au2 Au 0.136 0.500 0.933 1
Au3 Au 0.215 0.000 0.646 1
```

Ordering by calculated energy gives the sequence B), A), with the first entry being the most stable.

A) Density functional theory data (PBE) for crystalline MnMoAu at its relaxed geometry.

* density: 10.988 g/cm³

The structure in CIF format:
```
data_MnMoAu
_chemical_formula_sum 'Mn4 Mo4 Au4'
_cell_length_a 5.946
_cell_length_b 5.946
_cell_length_c 5.946
_cell_angle_alpha 90.00
_cell_angle_beta 90.00
_cell_angle_gamma 90.00
_symmetry_space_group_name_H-M 'F -4 3 m'
_symmetry_Int_Tables_number 216
_symmetry_space_group_name_Hall 'F -4 2 3'
loop_
_atom_site_label
_atom_site_type_symbol
_atom_site_fract_x
_atom_site_fract_y
_atom_site_fract_z
_atom_site_occupancy
Mn1 Mn 0.000 0.000 0.000 1
Mo1 Mo 0.250 0.250 0.750 1
Au1 Au 0.250 0.250 0.250 1
```

B) Density functional theory data (PBE) for crystalline MnMoAu at its relaxed geometry.

* density: 12.406 g/cm³

The structure in CIF format:
```
data_MnMoAu
_chemical_formula_sum 'Mn2 Mo2 Au2'
_cell_length_a 2.793
_cell_length_b 3.856
_cell_length_c 8.647
_cell_angle_alpha 90.00
_cell_angle_beta 90.00
_cell_angle_gamma 90.00
_symmetry_space_group_name_H-M 'I m m 2'
_symmetry_Int_Tables_number 44
loop_
_symmetry_equiv_pos_as_xyz
'x,y,z'
'-x,-y,z'
'-x,y,z'
'x,-y,z'
'x+1/2,y+1/2,z+1/2'
'-x+1/2,-y+1/2,z+1/2'
'-x+1/2,y+1/2,z+1/2'
'x+1/2,-y+1/2,z+1/2'
loop_
_atom_site_label
_atom_site_type_symbol
_atom_site_fract_x
_atom_site_fract_y
_atom_site_fract_z
_atom_site_occupancy
Mn1 Mn 0.000 0.000 0.000 1
Mo1 Mo 0.000 0.000 0.353 1
Au1 Au 0.000 0.000 0.673 1
```

Ordering by calculated energy gives the sequence B), A), with the first entry being the most stable.

A) Density functional theory data (PBE) for crystalline MnMoAu at its relaxed geometry.

* density: 12.397 g/cm³

The structure in CIF format:
```
data_MnMoAu
_chemical_formula_sum 'Mn2 Mo2 Au2'
_cell_length_a 3.205
_cell_length_b 3.205
_cell_length_c 9.071
_cell_angle_alpha 90.00
_cell_angle_beta 90.00
_cell_angle_gamma 90.00
_symmetry_space_group_name_H-M 'I 4 m m'
_symmetry_Int_Tables_number 107
_symmetry_space_group_name_Hall 'I 4 -2'
loop_
_atom_site_label
_atom_site_type_symbol
_atom_site_fract_x
_atom_site_fract_y
_atom_site_fract_z
_atom_site_occupancy
Mn1 Mn 0.000 0.000 0.000 1
Mo1 Mo 0.000 0.000 0.629 1
Au1 Au 0.000 0.000 0.321 1
```

B) Density functional theory data (PBE) for crystalline MnMoAu at its relaxed geometry.

* density: 12.315 g/cm³

The structure in CIF format:
```
data_MnMoAu
_chemical_formula_sum 'Mn1 Mo1 Au1'
_cell_length_a 4.5061
_cell_length_b 4.5061
_cell_length_c 2.6673
_cell_angle_alpha 90.00
_cell_angle_beta 90.00
_cell_angle_gamma 120.00
_symmetry_space_group_name_H-M 'P 3 m 1'
_symmetry_Int_Tables_number 156
loop_
_symmetry_equiv_pos_as_xyz
'x,y,z'
'-y,x-y,z'
'-x+y,-x,z'
'-y,-x,z'
'-x+y,y,z'
'x,x-y,z'
loop_
_atom_site_label
_atom_site_type_symbol
_atom_site_fract_x
_atom_site_fract_y
_atom_site_fract_z
_atom_site_occupancy
Mn1 Mn 0.0000 0.0000 0.0000 1
Mo1 Mo 0.3333 0.6667 0.4971 1
Au1 Au 0.6667 0.3333 0.9968 1
```

Ordering by calculated energy gives the sequence A), B), with the first entry being the most stable.